(1)
An optimized crystal structure of Ni2AgRu, computed with PBE-GGA.

```
4
Lattice="4.4560 0.0000 0.0000 0.0000 4.4560 0.0000 0.0000 0.0000 2.7243" Properties=species:S:1:pos:R:3 pbc="T T T"
Ni 0.0000 2.2280 0.0000
Ni 2.2280 0.0000 0.0000
Ag 0.0000 0.0000 1.3622
Ru 2.2280 2.2280 1.3622
```

Results
The formation energy comes out at 370.8 meV/atom. The density of states at the Fermi level is 5.2 states/eV per cell. For the energy above the most stable polymorph in this dataset, the calculation gives 16.5 kJ per mole of atoms.



(2)
An optimized crystal structure of NiAgRu, computed with PBE-GGA.

```
3
Lattice="2.7167 0.0000 0.0000 -1.3583 2.3527 0.0000 0.0000 0.0000 6.7094" Properties=species:S:1:pos:R:3 pbc="T T T"
Ni 0.0000 0.0000 0.0000
Ag 0.0000 1.5685 4.4358
Ru 1.3583 0.7842 1.9585
```

Results
The formation energy comes out at 315.9 meV/atom. The density of states at the Fermi level is 3.1 states/eV per cell. For the energy above the most stable polymorph in this dataset, the calculation gives 0.0 kJ per mole of atoms.



(3)
An optimized crystal structure of Ni2AgRu, computed with PBE-GGA.

```
4
Lattice="2.6879 0.0000 0.0000 0.0000 2.6879 0.0000 0.0000 0.0000 7.4373" Properties=species:S:1:pos:R:3 pbc="T T T"
Ni 0.0000 0.0000 1.7050
Ni 0.0000 0.0000 5.7323
Ag 1.3439 1.3439 3.7187
Ru 1.3439 1.3439 0.0000
```

Results
The formation energy comes out at 199.5 meV/atom. The density of states at the Fermi level is 5.8 states/eV per cell. For the energy above the most stable polymorph in this dataset, the calculation gives 0.0 kJ per mole of atoms.



(4)
An optimized crystal structure of Ni2AgRu, computed with PBE-GGA.

```
4
Lattice="-1.3426 2.2231 4.5426 1.3426 -2.2231 4.5426 1.3426 2.2231 -4.5426" Properties=species:S:1:pos:R:3 pbc="T T T"
Ni 0.0000 0.0000 0.0000
Ni 0.0000 2.2231 2.4951
Ag 0.0000 0.0000 4.6421
Ru 1.3426 0.0000 2.0935
```

Results
The formation energy comes out at 360.5 meV/atom. The density of states at the Fermi level is 4.6 states/eV per cell. For the energy above the most stable polymorph in this dataset, the calculation gives 15.5 kJ per mole of atoms.



(5)
An optimized crystal structure of NiAgRu, computed with PBE-GGA.

```
3
Lattice="0.0000 2.2833 6.8717 1.4015 0.0000 6.8717 1.4015 2.2833 0.0000" Properties=species:S:1:pos:R:3 pbc="T T T"
Ni 0.0000 0.0000 0.0000
Ag 1.4015 2.2833 4.5646
Ru 1.4015 2.2833 8.9175
```

Results
The formation energy comes out at 447.8 meV/atom. The density of states at the Fermi level is 5.0 states/eV per cell. For the energy above the most stable polymorph in this dataset, the calculation gives 12.7 kJ per mole of atoms.



(6)
An optimized crystal structure of Ni2AgRu, computed with PBE-GGA.

```
4
Lattice="1.3412 0.7744 8.6905 -1.3412 0.7744 8.6905 0.0000 -1.5487 8.6905" Properties=species:S:1:pos:R:3 pbc="T T T"
Ni 0.0000 0.0000 0.0000
Ni 0.0000 0.0000 6.7539
Ag 0.0000 0.0000 19.6441
Ru 0.0000 0.0000 13.4399
```

Results
The formation energy comes out at 295.1 meV/atom. The density of states at the Fermi level is 6.5 states/eV per cell. For the energy above the most stable polymorph in this dataset, the calculation gives 9.2 kJ per mole of atoms.



(7)
An optimized crystal structure of NiAgRu2, computed with PBE-GGA.

```
4
Lattice="2.6007 -4.0871 0.0000 2.6007 4.0871 0.0000 0.0000 0.0000 2.6712" Properties=species:S:1:pos:R:3 pbc="T T T"
Ni 0.0000 0.0000 0.0000
Ag 2.6007 0.0000 0.0000
Ru 1.3004 2.0436 1.3356
Ru 1.3004 -2.0436 1.3356
```

Results
The formation energy comes out at 534.1 meV/atom. The density of states at the Fermi level is 6.3 states/eV per cell. For the energy above the most stable polymorph in this dataset, the calculation gives 27.2 kJ per mole of atoms.



(8)
An optimized crystal structure of Ni2AgRu, computed with PBE-GGA.

```
4
Lattice="0.0000 3.0237 3.0237 3.0237 0.0000 3.0237 3.0237 3.0237 0.0000" Properties=species:S:1:pos:R:3 pbc="T T T"
Ni 0.0000 0.0000 0.0000
Ni 1.5118 1.5118 1.5118
Ag 3.0237 3.0237 3.0237
Ru 4.5355 4.5355 4.5355
```

Results
The formation energy comes out at 536.7 meV/atom. The density of states at the Fermi level is 6.1 states/eV per cell. For the energy above the most stable polymorph in this dataset, the calculation gives 32.5 kJ per mole of atoms.



(9)
An optimized crystal structure of Ni2AgRu, computed with PBE-GGA.

```
4
Lattice="4.5527 -1.3209 0.0000 4.5527 1.3209 0.0000 -1.1280 0.0000 4.4458" Properties=species:S:1:pos:R:3 pbc="T T T"
Ni 0.0000 0.0000 0.0000
Ni 6.2806 0.0000 1.2781
Ag 3.8572 0.0000 2.1967
Ru 1.4136 0.0000 3.6868
```

Results
The formation energy comes out at 310.4 meV/atom. The density of states at the Fermi level is 5.6 states/eV per cell. For the energy above the most stable polymorph in this dataset, the calculation gives 10.7 kJ per mole of atoms.



(10)
An optimized crystal structure of NiAgRu2, computed with PBE-GGA.

```
4
Lattice="5.2837 -1.3628 0.0000 5.2837 1.3628 0.0000 -1.8047 0.0000 3.9993" Properties=species:S:1:pos:R:3 pbc="T T T"
Ni 0.0000 0.0000 0.0000
Ag 4.3814 0.0000 1.9997
Ru 1.5758 0.0000 3.1311
Ru 7.1869 0.0000 0.8682
```

Results
The formation energy comes out at 380.0 meV/atom. The density of states at the Fermi level is 4.3 states/eV per cell. For the energy above the most stable polymorph in this dataset, the calculation gives 12.3 kJ per mole of atoms.



(11)
An optimized crystal structure of NiAgRu2, computed with PBE-GGA.

```
4
Lattice="4.4489 -1.3517 0.0000 4.4489 1.3517 0.0000 -0.8148 0.0000 4.7299" Properties=species:S:1:pos:R:3 pbc="T T T"
Ni 0.0000 0.0000 0.0000
Ag 6.5083 0.0000 1.0994
Ru 1.6935 0.0000 3.4732
Ru 4.1142 0.0000 2.5699
```

Results
The formation energy comes out at 381.5 meV/atom. The density of states at the Fermi level is 5.0 states/eV per cell. For the energy above the most stable polymorph in this dataset, the calculation gives 12.5 kJ per mole of atoms.



(12)
An optimized crystal structure of NiAgRu2, computed with PBE-GGA.

```
4
Lattice="2.6563 0.0000 0.0000 0.0000 2.6563 0.0000 0.0000 0.0000 8.0483" Properties=species:S:1:pos:R:3 pbc="T T T"
Ni 0.0000 0.0000 0.0000
Ag 0.0000 0.0000 4.0241
Ru 1.3282 1.3282 1.7776
Ru 1.3282 1.3282 6.2707
```

Results
The formation energy comes out at 421.5 meV/atom. The density of states at the Fermi level is 6.3 states/eV per cell. For the energy above the most stable polymorph in this dataset, the calculation gives 16.3 kJ per mole of atoms.



Table of density (g/cm³), in record order: 10.0; 10.4; 10.1; 10.0; 10.1; 10.0; 10.8; 9.8; 10.1; 10.6; 10.8; 10.8
Table of uncorrected energy (eV/atom), in record order: -5.552; -5.654; -5.723; -5.562; -5.522; -5.627; -6.262; -5.386; -5.612; -6.416; -6.415; -6.375